## TaCr2AuF (GGA+U)

Data for crystalline TaCr2AuF at its relaxed geometry.

Total magnetization: 6.56 Bohr magnetons per cell
Space group: P4/mmm, No. 123
Total DFT energy (no corrections): -5.30 eV per atom
Density of states at the Fermi level: 5.4 states/eV/f.u.
ρ: 7.5 Mg/m³
Volume: 22.0 A^3/atom

Structure (POSCAR):
```
TaCr2AuF
1.0
5.194 0.000 0.000
0.000 4.086 0.000
0.000 0.000 5.194
Au Ta Cr F
1 1 2 1
direct
0.000 0.000 0.000 Au
0.500 0.500 0.500 Ta
0.500 0.000 0.000 Cr
0.000 0.000 0.500 Cr
0.000 0.500 0.000 F
```